Entry 1:
## Ba2PaSn3O12 (PBE)

Data for crystalline Ba2PaSn3O12 at its relaxed geometry.

Geometry as CIF:
```
data_Ba2PaSn3O12
_chemical_formula_sum 'Ba2 Pa1 Sn3 O12'
_symmetry_space_group_name_H-M 'P 1'
_symmetry_Int_Tables_number 1
_cell_length_a 7.724
_cell_length_b 7.724
_cell_length_c 7.724
_cell_angle_alpha 57.46
_cell_angle_beta 57.46
_cell_angle_gamma 57.46
loop_
_symmetry_equiv_pos_as_xyz
'x,y,z'
loop_
_atom_site_label
_atom_site_type_symbol
_atom_site_fract_x
_atom_site_fract_y
_atom_site_fract_z
Ba1 Ba 0.103 0.103 0.103
Ba2 Ba 0.897 0.897 0.897
Pa1 Pa 0.500 0.500 0.500
Sn1 Sn 0.000 0.500 0.500
Sn2 Sn 0.500 0.000 0.500
Sn3 Sn 0.500 0.500 0.000
O1 O 0.162 0.579 0.579
O2 O 0.166 0.166 0.595
O3 O 0.166 0.595 0.166
O4 O 0.405 0.834 0.834
O5 O 0.421 0.421 0.838
O6 O 0.421 0.838 0.421
O7 O 0.579 0.162 0.579
O8 O 0.579 0.579 0.162
O9 O 0.595 0.166 0.166
O10 O 0.834 0.405 0.834
O11 O 0.834 0.834 0.405
O12 O 0.838 0.421 0.421
```

## Properties
symmetry: No. 166
E_tot: -6.647 eV per atom
calculated density: 5.702 g cm⁻³
uncorrected formation energy: -1.934 eV per atom


Entry 2:
## BaPa2SnO7 (PBE)

Data for crystalline BaPa2SnO7 at its relaxed geometry.

Geometry as CIF:
```
data_BaPa2SnO7
_chemical_formula_sum 'Ba1 Pa2 Sn1 O7'
_symmetry_space_group_name_H-M 'P 1'
_symmetry_Int_Tables_number 1
_cell_length_a 11.282
_cell_length_b 11.282
_cell_length_c 11.282
_cell_angle_alpha 157.66
_cell_angle_beta 157.66
_cell_angle_gamma 31.81
loop_
_symmetry_equiv_pos_as_xyz
'x,y,z'
loop_
_atom_site_label
_atom_site_type_symbol
_atom_site_fract_x
_atom_site_fract_y
_atom_site_fract_z
Ba1 Ba 0.000 0.000 0.000
Pa1 Pa 0.396 0.396 0.000
Pa2 Pa 0.604 0.604 0.000
Sn1 Sn 0.750 0.250 0.500
O1 O 0.088 0.588 0.500
O2 O 0.299 0.299 0.000
O3 O 0.412 0.912 0.500
O4 O 0.500 0.500 0.000
O5 O 0.594 0.094 0.500
O6 O 0.701 0.701 0.000
O7 O 0.906 0.406 0.500
```

## Properties
symmetry: No. 119
E_tot: -8.427 eV per atom
calculated density: 6.647 g cm⁻³
uncorrected formation energy: -3.006 eV per atom